DFT (GGA+U) results for a relaxed structure of NiRhF6.

Properties
The total energy comes out at -0.160 hartree per atom. Its density of states at the Fermi level is 8.2 states/eV per cell.

a b c (Å): 4.632 4.910 4.910
angles (deg): 120.00 90.00 90.00
Each line ends with the local moment (μB).
Fractional coordinates of all 8 atoms:
F 0.753 0.989 0.657  0.07
F 0.247 0.668 0.657  0.07
Rh 0.000 0.667 0.333  0.70
F 0.247 0.343 0.011  0.07
F 0.247 0.989 0.332  0.07
F 0.753 0.668 0.011  0.07
Ni 0.500 0.000 0.000  1.83
F 0.753 0.343 0.332  0.07